# 1
Compound: Ca3Sn5O12
Source: Alexandria
Functional: PBE
Structure: relaxed

Cell: 11.517 11.517 11.517 Å, 109.47 109.47 109.47°
Sites, in units of the cell vectors:
Ca 0.125 0.250 0.375
Ca 0.125 0.375 0.750
Ca 0.250 0.375 0.125
Ca 0.250 0.875 0.625
Ca 0.375 0.125 0.250
Ca 0.375 0.750 0.125
Ca 0.625 0.250 0.875
Ca 0.625 0.875 0.750
Ca 0.750 0.125 0.375
Ca 0.750 0.625 0.875
Ca 0.875 0.625 0.250
Ca 0.875 0.750 0.625
Sn 0.000 0.000 0.000
Sn 0.000 0.000 0.500
Sn 0.000 0.500 0.000
Sn 0.000 0.500 0.500
Sn 0.125 0.750 0.875
Sn 0.125 0.875 0.250
Sn 0.250 0.125 0.875
Sn 0.250 0.625 0.375
Sn 0.375 0.250 0.625
Sn 0.375 0.625 0.750
Sn 0.500 0.000 0.000
Sn 0.500 0.000 0.500
Sn 0.500 0.500 0.000
Sn 0.500 0.500 0.500
Sn 0.625 0.375 0.250
Sn 0.625 0.750 0.375
Sn 0.750 0.375 0.625
Sn 0.750 0.875 0.125
Sn 0.875 0.125 0.750
Sn 0.875 0.250 0.125
O 0.030 0.203 0.125
O 0.030 0.327 0.905
O 0.078 0.703 0.673
O 0.078 0.875 0.405
O 0.095 0.625 0.422
O 0.095 0.970 0.673
O 0.125 0.030 0.203
O 0.125 0.595 0.922
O 0.173 0.203 0.578
O 0.173 0.470 0.595
O 0.203 0.125 0.030
O 0.203 0.578 0.173
O 0.297 0.327 0.922
O 0.297 0.470 0.375
O 0.327 0.905 0.030
O 0.327 0.922 0.297
O 0.375 0.297 0.470
O 0.375 0.578 0.905
O 0.405 0.078 0.875
O 0.405 0.827 0.530
O 0.422 0.095 0.625
O 0.422 0.827 0.797
O 0.470 0.375 0.297
O 0.470 0.595 0.173
O 0.530 0.405 0.827
O 0.530 0.625 0.703
O 0.578 0.173 0.203
O 0.578 0.905 0.375
O 0.595 0.173 0.470
O 0.595 0.922 0.125
O 0.625 0.422 0.095
O 0.625 0.703 0.530
O 0.673 0.078 0.703
O 0.673 0.095 0.970
O 0.703 0.530 0.625
O 0.703 0.673 0.078
O 0.797 0.422 0.827
O 0.797 0.875 0.970
O 0.827 0.530 0.405
O 0.827 0.797 0.422
O 0.875 0.405 0.078
O 0.875 0.970 0.797
O 0.905 0.030 0.327
O 0.905 0.375 0.578
O 0.922 0.125 0.595
O 0.922 0.297 0.327
O 0.970 0.673 0.095
O 0.970 0.797 0.875

Summary:
ρ = 5.1 g/cm3
Energy relative to the elements, uncorrected = -1.96 eV per atom
N(E_F) = 0.21 states/eV per atom
Spin magnetization = 0.0 μB per formula unit


# 2
Compound: Ac3InC2N6
Source: Alexandria
Functional: PBE
Structure: relaxed

Cell: 5.564 5.564 7.282 Å, 90.00 90.00 120.00°
Sites, in units of the cell vectors:
Ac 0.000 0.000 0.000
Ac 0.333 0.667 0.677
Ac 0.667 0.333 0.323
In 0.000 0.000 0.500
C 0.333 0.667 0.252
C 0.667 0.333 0.748
N 0.190 0.380 0.254
N 0.190 0.810 0.254
N 0.380 0.190 0.746
N 0.620 0.810 0.254
N 0.810 0.190 0.746
N 0.810 0.620 0.746

Summary:
ρ = 7.7 g/cm3
Energy relative to the elements, uncorrected = -0.47 eV per atom
N(E_F) = 0.10 states/eV per atom
Spin magnetization = 0.0 μB per formula unit